A) DFT (PBE-GGA) results for a relaxed BaYI2N crystal.

Output
SG: P4/mmm, No. 123

abc: 6.2394 6.2394 4.3059
angles: 90.00 90.00 90.00
Last column: magnetic moment on the atom in μB.
Atoms (fractional coordinates):
I  0.0000  0.5000  0.0000  0.00
I  0.5000  0.0000  0.0000  0.00
Y  0.0000  0.0000  0.0000  -0.02
Ba  0.5000  0.5000  0.5000  0.00
N  0.0000  0.0000  0.5000  -0.07


B) DFT (PBE-GGA) results for a relaxed BaYI2N crystal.

Output
SG: P4/mmm, No. 123

abc: 6.5807 6.5807 4.3577
angles: 90.00 90.00 90.00
Last column: magnetic moment on the atom in μB.
Atoms (fractional coordinates):
I  0.0000  0.5000  0.0000  0.00
I  0.5000  0.0000  0.0000  0.00
Y  0.5000  0.5000  0.5000  0.06
Ba  0.0000  0.0000  0.0000  0.00
N  0.0000  0.0000  0.5000  -0.01


The computed energies, referenced to the most stable structure and given in meV per atom, are A) 0; B) 1062.


A) DFT (PBE-GGA) results for a relaxed BaZnIN2 crystal.

Output
SG: P4/mmm, No. 123

abc: 4.8077 4.8077 7.3574
angles: 90.00 90.00 90.00
Last column: magnetic moment on the atom in μB.
Atoms (fractional coordinates):
I  0.0000  0.0000  0.5000  -0.02
Zn  0.5000  0.5000  0.5000  -0.01
Ba  0.0000  0.0000  0.0000  -0.04
N  0.0000  0.5000  0.0000  0.79
N  0.5000  0.0000  0.0000  0.79


B) DFT (PBE-GGA) results for a relaxed BaZnIN2 crystal.

Output
SG: P4/mmm, No. 123

abc: 4.5891 4.5891 5.4000
angles: 90.00 90.00 90.00
Last column: magnetic moment on the atom in μB.
Atoms (fractional coordinates):
I  0.0000  0.0000  0.5000  0.08
Zn  0.0000  0.0000  0.0000  0.00
Ba  0.5000  0.5000  0.5000  -0.02
N  0.0000  0.5000  0.0000  0.99
N  0.5000  0.0000  0.0000  0.99


The computed energies, referenced to the most stable structure and given in meV per atom, are A) 610; B) 0.


A) DFT (PBE-GGA) results for a relaxed BaNaI2 crystal.

Output
SG: I-42d, No. 122

abc: 7.7384 7.7384 9.1880
angles: 65.09 65.09 90.00
Last column: magnetic moment on the atom in μB.
Atoms (fractional coordinates):
I  0.5875  0.1250  0.2500  0.01
I  0.1625  0.6250  0.2500  0.01
I  0.3750  0.4125  0.7500  0.01
I  0.8750  0.8375  0.7500  0.01
Na  0.5000  0.5000  0.0000  0.00
Na  0.2500  0.7500  0.5000  0.00
Ba  0.0000  0.0000  0.0000  0.14
Ba  0.7500  0.2500  0.5000  0.14


B) DFT (PBE-GGA) results for a relaxed BaNaI2 crystal.

Output
SG: R3m, No. 160

abc: 4.5969 4.5969 9.2103
angles: 75.55 75.55 60.00
Last column: magnetic moment on the atom in μB.
Atoms (fractional coordinates):
Ba  0.4997  0.4997  0.5010  0.23
Na  0.6676  0.6676  0.9973  0.00
I  0.0717  0.0717  0.7848  0.01
I  0.2610  0.2610  0.2169  0.01


The computed energies, referenced to the most stable structure and given in meV per atom, are A) 184; B) 0.


A) DFT (PBE-GGA) results for a relaxed BaNaI2 crystal.

Output
SG: Fm-3m, No. 225

abc: 6.0416 6.0416 6.0416
angles: 60.00 60.00 60.00
Last column: magnetic moment on the atom in μB.
Atoms (fractional coordinates):
I  0.2500  0.2500  0.2500  0.02
I  0.7500  0.7500  0.7500  0.02
Na  0.0000  0.0000  0.0000  0.05
Ba  0.5000  0.5000  0.5000  0.11


B) DFT (PBE-GGA) results for a relaxed BaNaI2 crystal.

Output
SG: R-3m, No. 166

abc: 4.5137 4.5137 9.3591
angles: 76.05 76.05 60.00
Last column: magnetic moment on the atom in μB.
Atoms (fractional coordinates):
I  0.2616  0.2616  0.2153  0.01
I  0.7384  0.7384  0.7847  0.01
Na  0.0000  0.0000  0.0000  0.00
Ba  0.5000  0.5000  0.5000  0.19


C) DFT (PBE-GGA) results for a relaxed BaNaI2 crystal.

Output
SG: P4/mmm, No. 123

abc: 4.3564 5.8127 5.8127
angles: 90.00 90.00 90.00
Atoms (fractional coordinates):
I  0.0000  0.0000  0.5000
I  0.0000  0.5000  0.0000
Na  0.5000  0.5000  0.5000
Ba  0.5000  0.0000  0.0000


The computed energies, referenced to the most stable structure and given in meV per atom, are A) 106; B) 0; C) 56.


A) DFT (PBE-GGA) results for a relaxed Ba2NaI crystal.

Output
SG: R-3m, No. 166

abc: 4.3581 4.3581 13.4157
angles: 80.65 80.65 60.00
Atoms (fractional coordinates):
I  0.5000  0.5000  0.5000
Na  0.0000  0.0000  0.0000
Ba  0.1006  0.1006  0.6983
Ba  0.8994  0.8994  0.3017


B) DFT (PBE-GGA) results for a relaxed Ba2NaI crystal.

Output
SG: I-42d, No. 122

abc: 9.9451 9.9451 8.3385
angles: 53.39 53.39 90.00
Atoms (fractional coordinates):
I  0.0000  0.0000  0.0000
I  0.7500  0.2500  0.5000
Na  0.5000  0.5000  0.0000
Na  0.2500  0.7500  0.5000
Ba  0.6537  0.1250  0.2500
Ba  0.0963  0.6250  0.2500
Ba  0.3750  0.3463  0.7500
Ba  0.8750  0.9037  0.7500


C) DFT (PBE-GGA) results for a relaxed Ba2NaI crystal.

Output
SG: Fm-3m, No. 225

abc: 6.3712 6.3712 6.3712
angles: 60.00 60.00 60.00
Last column: magnetic moment on the atom in μB.
Atoms (fractional coordinates):
I  0.5000  0.5000  0.5000  0.04
Na  0.0000  0.0000  0.0000  0.01
Ba  0.2500  0.2500  0.2500  0.21
Ba  0.7500  0.7500  0.7500  0.21


D) DFT (PBE-GGA) results for a relaxed Ba2NaI crystal.

Output
SG: P4/mmm, No. 123

abc: 4.2880 4.2880 10.1114
angles: 90.00 90.00 90.00
Atoms (fractional coordinates):
I  0.5000  0.5000  0.0000
Na  0.5000  0.5000  0.5000
Ba  0.0000  0.0000  0.7631
Ba  0.0000  0.0000  0.2369


The computed energies, referenced to the most stable structure and given in meV per atom, are A) 68; B) 98; C) 107; D) 0.


A) DFT (PBE-GGA) results for a relaxed BaNaI2O crystal.

Output
SG: P4/mmm, No. 123

abc: 6.8999 6.8999 4.5698
angles: 90.00 90.00 90.00
Last column: magnetic moment on the atom in μB.
Atoms (fractional coordinates):
I  0.0000  0.5000  0.0000  0.05
I  0.5000  0.0000  0.0000  0.05
Na  0.5000  0.5000  0.5000  0.00
Ba  0.0000  0.0000  0.0000  0.00
O  0.0000  0.0000  0.5000  0.07


B) DFT (PBE-GGA) results for a relaxed BaNaI2O crystal.

Output
SG: P4/mmm, No. 123

abc: 5.9535 5.9535 4.5656
angles: 90.00 90.00 90.00
Last column: magnetic moment on the atom in μB.
Atoms (fractional coordinates):
I  0.0000  0.5000  0.0000  0.03
I  0.5000  0.0000  0.0000  0.03
Na  0.0000  0.0000  0.0000  -0.01
Ba  0.5000  0.5000  0.5000  -0.01
O  0.0000  0.0000  0.5000  0.75


The computed energies, referenced to the most stable structure and given in meV per atom, are A) 0; B) 77.


A) DFT (PBE-GGA) results for a relaxed BaNaTe2I crystal.

Output
SG: P4/mmm, No. 123

abc: 6.6638 6.6638 6.7415
angles: 90.00 90.00 90.00
Last column: magnetic moment on the atom in μB.
Atoms (fractional coordinates):
I  0.0000  0.0000  0.5000  0.07
Na  0.5000  0.5000  0.5000  0.00
Te  0.0000  0.5000  0.0000  0.43
Te  0.5000  0.0000  0.0000  0.43
Ba  0.0000  0.0000  0.0000  0.00


B) DFT (PBE-GGA) results for a relaxed BaNaTe2I crystal.

Output
SG: P4/mmm, No. 123

abc: 5.5312 5.5312 6.2847
angles: 90.00 90.00 90.00
Atoms (fractional coordinates):
I  0.0000  0.0000  0.5000
Na  0.0000  0.0000  0.0000
Te  0.0000  0.5000  0.0000
Te  0.5000  0.0000  0.0000
Ba  0.5000  0.5000  0.5000


The computed energies, referenced to the most stable structure and given in meV per atom, are A) 232; B) 0.


A) DFT (PBE-GGA) results for a relaxed BaNb2I crystal.

Output
SG: I-42d, No. 122

abc: 8.5855 8.5855 6.8263
angles: 51.03 51.03 90.00
Atoms (fractional coordinates):
I  0.5000  0.5000  0.0000
I  0.2500  0.7500  0.5000
Nb  0.5523  0.1250  0.2500
Nb  0.1977  0.6250  0.2500
Nb  0.3750  0.4477  0.7500
Nb  0.8750  0.8023  0.7500
Ba  0.0000  0.0000  0.0000
Ba  0.7500  0.2500  0.5000


B) DFT (PBE-GGA) results for a relaxed BaNb2I crystal.

Output
SG: Fm-3m, No. 225

abc: 5.0582 5.0582 5.0582
angles: 60.00 60.00 60.00
Atoms (fractional coordinates):
I  0.0000  0.0000  0.0000
Nb  0.2500  0.2500  0.2500
Nb  0.7500  0.7500  0.7500
Ba  0.5000  0.5000  0.5000


The computed energies, referenced to the most stable structure and given in meV per atom, are A) 0; B) 53.